VASP calculation (PBE) on a geometry-optimized LiRe structure.

Properties
- Theoretical density: 11.02 g/cm3
- V: 29.1 Å³ per cell
- ΔH_f (0 K): 0.32 eV per atom
- ΔE to the lowest computed polymorph: 175 meV per atom

```
LiRe
1.0
-0.1273 1.1805 -2.2770
-2.0189 -1.5612 0.2849
-2.4331 3.5026 1.9520
Li Re
1 1
Cartesian
0.0000 0.0000 0.0000
-2.2897 1.5610 -0.0200
```

---

VASP calculation (PBE) on a geometry-optimized Li3Re structure.

Properties
- Theoretical density: 5.92 g/cm3
- V: 58.0 Å³ per cell
- ΔH_f (0 K): 0.31 eV per atom
- ΔE to the lowest computed polymorph: 151 meV per atom

```
Li3Re
1.0
5.3192 -0.0008 -0.0030
-2.4748 4.7085 -0.0030
-2.4748 -4.0959 2.3223
Li Re
3 1
Cartesian
0.0000 0.0000 0.0000
1.4222 2.3538 -0.0030
-2.4748 0.3063 1.1597
1.4222 -2.0484 1.1597
```

---

VASP calculation (PBE) on a geometry-optimized LiRe structure.

Properties
- Theoretical density: 10.84 g/cm3
- V: 59.2 Å³ per cell
- ΔH_f (0 K): 0.28 eV per atom
- ΔE to the lowest computed polymorph: 137 meV per atom

```
LiRe
1.0
4.6207 -0.0064 0.0009
3.9235 2.4407 0.0009
0.2153 0.0613 5.2372
Li Re
2 2
Cartesian
0.0268 0.0076 0.0926
2.1630 0.6163 1.2172
6.5436 1.8643 3.7918
4.4058 1.2552 2.7569
```

---

VASP calculation (PBE) on a geometry-optimized Li3Re structure.

Properties
- Theoretical density: 5.67 g/cm3
- V: 121.3 Å³ per cell
- ΔH_f (0 K): 0.51 eV per atom
- ΔE to the lowest computed polymorph: 349 meV per atom

```
Li3Re
1.0
-4.3966 2.6829 3.6759
-1.2564 6.0827 -1.2090
0.4378 -5.3097 -3.4140
Li Re
6 2
Cartesian
-0.4093 0.3865 -2.3115
-1.9794 -1.3134 0.1309
-3.3927 0.8780 0.7476
-1.8226 2.5779 -1.6948
-4.9165 7.6236 2.1454
-0.7365 1.1421 0.3214
-3.4239 5.3092 1.4941
-2.2291 3.4565 0.9727
```

---

VASP calculation (PBE) on a geometry-optimized LiRe structure.

Properties
- Theoretical density: 11.58 g/cm3
- V: 221.5 Å³ per cell
- ΔH_f (0 K): 0.28 eV per atom
- ΔE to the lowest computed polymorph: 133 meV per atom

```
LiRe
1.0
5.3662 0.0000 0.0000
0.0000 5.3662 0.0000
0.0000 0.0000 7.6938
Li Re
8 8
Cartesian
0.0000 1.3415 4.8086
0.0000 4.0246 4.8086
4.0246 0.0000 2.8852
4.0246 2.6831 6.7320
1.3415 2.6831 6.7320
1.3415 0.0000 2.8852
2.6831 4.0246 0.9617
2.6831 1.3415 0.9617
0.0000 1.3415 0.9617
0.0000 4.0246 0.9617
4.0246 0.0000 6.7320
4.0246 2.6831 2.8852
1.3415 2.6831 2.8852
1.3415 0.0000 6.7320
2.6831 4.0246 4.8086
2.6831 1.3415 4.8086
```

---

VASP calculation (PBE) on a geometry-optimized LiRe structure.

Properties
- Theoretical density: 11.58 g/cm3
- V: 55.4 Å³ per cell
- ΔH_f (0 K): 1.58 eV per atom
- ΔE to the lowest computed polymorph: 1433 meV per atom

```
LiRe
1.0
3.4333 0.0000 0.0000
-1.7166 2.9733 0.0000
0.0000 0.0000 5.4260
Li Re
2 2
Cartesian
0.0000 1.9822 1.3565
1.7166 0.9911 4.0695
0.0000 0.0000 0.0000
0.0000 0.0000 2.7130
```

---

VASP calculation (PBE) on a geometry-optimized Li3Re structure.

Properties
- Theoretical density: 6.37 g/cm3
- V: 53.9 Å³ per cell
- ΔH_f (0 K): 0.80 eV per atom
- ΔE to the lowest computed polymorph: 644 meV per atom

```
Li3Re
1.0
3.7782 0.0000 0.0000
0.0000 3.7782 0.0000
0.0000 0.0000 3.7782
Li Re
3 1
Cartesian
0.0000 1.8891 1.8891
1.8891 0.0000 1.8891
1.8891 1.8891 0.0000
0.0000 0.0000 0.0000
```

---

VASP calculation (PBE) on a geometry-optimized LiRe structure.

Properties
- Theoretical density: 11.02 g/cm3
- V: 29.1 Å³ per cell
- ΔH_f (0 K): 0.28 eV per atom
- ΔE to the lowest computed polymorph: 133 meV per atom

```
LiRe
1.0
-0.6843 -0.2539 -2.5522
-1.8587 -0.1241 1.8912
-0.6229 4.7204 -0.3026
Li Re
1 1
Cartesian
0.0000 0.0000 0.0000
-1.3872 2.1496 -1.2224
```

---

VASP calculation (PBE) on a geometry-optimized Li3Re structure.

Properties
- Theoretical density: 5.79 g/cm3
- V: 59.3 Å³ per cell
- ΔH_f (0 K): 0.87 eV per atom
- ΔE to the lowest computed polymorph: 712 meV per atom

```
Li3Re
1.0
4.3781 0.0000 0.0000
2.1890 3.7915 0.0000
2.1890 1.2638 3.5747
Li Re
3 1
Cartesian
0.0000 0.0000 0.0000
2.1890 1.2638 0.8937
4.3781 2.5277 1.7873
6.5671 3.7915 2.6810
```

---

VASP calculation (PBE) on a geometry-optimized LiRe structure.

Properties
- Theoretical density: 12.91 g/cm3
- V: 99.4 Å³ per cell
- ΔH_f (0 K): 1.51 eV per atom
- ΔE to the lowest computed polymorph: 1368 meV per atom

```
LiRe
1.0
-0.4959 4.5768 0.5140
-0.8851 -0.6020 4.5068
4.5197 0.3843 0.9390
Li Re
4 4
Cartesian
0.0000 0.0000 0.0000
1.8173 -0.1088 2.7229
2.0119 2.4805 0.7265
-0.6905 1.9874 2.5104
1.5693 2.1795 2.9799
-0.2480 2.2884 0.2570
-0.4425 -0.3010 2.2534
2.2599 0.1922 0.4695
```

---

VASP calculation (PBE) on a geometry-optimized LiRe structure.

Properties
- Theoretical density: 9.61 g/cm3
- V: 33.4 Å³ per cell
- ΔH_f (0 K): 3.16 eV per atom
- ΔE to the lowest computed polymorph: 3013 meV per atom

```
LiRe
1.0
3.6135 0.0000 0.0000
1.8067 3.1294 0.0000
1.8067 1.0431 2.9504
Li Re
1 1
Cartesian
0.0000 0.0000 0.0000
5.4202 3.1294 2.2128
```

---

VASP calculation (PBE) on a geometry-optimized Li3Re structure.

Properties
- Theoretical density: 6.04 g/cm3
- V: 113.8 Å³ per cell
- ΔH_f (0 K): 0.83 eV per atom
- ΔE to the lowest computed polymorph: 674 meV per atom

```
Li3Re
1.0
-4.4996 -0.3532 2.9606
1.5726 -4.1816 -3.0294
2.4030 -1.6035 3.4608
Li Re
6 2
Cartesian
0.3699 -1.8867 0.3371
-1.0603 -4.1025 0.3035
1.1383 -3.9299 -1.1432
-0.8938 -4.2517 3.0550
0.5364 -2.0359 3.0886
-1.6622 -2.2084 4.5352
1.3508 -4.1081 1.5629
-1.8748 -2.0302 1.8292
```

---

VASP calculation (PBE) on a geometry-optimized LiRe5 structure.

Properties
- Theoretical density: 17.98 g/cm3
- V: 86.6 Å³ per cell
- ΔH_f (0 K): 0.18 eV per atom
- ΔE to the lowest computed polymorph: 86 meV per atom

```
LiRe5
1.0
1.5488 4.8286 0.0591
-1.5488 4.8286 0.0591
0.0000 1.8914 5.8136
Li Re
1 5
Cartesian
0.0000 9.4952 0.4363
0.0000 3.6282 2.2778
0.0000 7.5944 4.2924
0.0000 6.5559 1.3103
0.0000 10.4391 3.3456
0.0000 4.6655 5.2629
```

---

VASP calculation (PBE) on a geometry-optimized LiRe structure.

Properties
- Theoretical density: 12.90 g/cm3
- V: 24.9 Å³ per cell
- ΔH_f (0 K): 0.94 eV per atom
- ΔE to the lowest computed polymorph: 797 meV per atom

```
LiRe
1.0
2.9186 0.0000 0.0000
0.0000 2.9186 0.0000
0.0000 0.0000 2.9186
Li Re
1 1
Cartesian
0.0000 0.0000 0.0000
1.4593 1.4593 1.4593
```

---

VASP calculation (PBE) on a geometry-optimized LiRe structure.

Properties
- Theoretical density: 10.97 g/cm3
- V: 58.5 Å³ per cell
- ΔH_f (0 K): 0.32 eV per atom
- ΔE to the lowest computed polymorph: 174 meV per atom

```
LiRe
1.0
2.5163 0.0000 0.0000
0.0000 4.4124 0.0000
0.0000 0.0000 5.2653
Li Re
2 2
Cartesian
0.0000 0.0000 0.2295
0.0000 2.2062 1.5256
1.2581 0.0000 2.8878
1.2581 2.2062 4.1326
```

---

VASP calculation (PBE) on a geometry-optimized Li3Re structure.

Properties
- Theoretical density: 5.56 g/cm3
- V: 123.7 Å³ per cell
- ΔH_f (0 K): 0.35 eV per atom
- ΔE to the lowest computed polymorph: 187 meV per atom

```
Li3Re
1.0
2.0584 4.3674 -2.9616
-4.5937 0.4719 3.2799
2.6409 1.1512 3.5331
Li Re
6 2
Cartesian
-3.5117 1.0067 3.7675
3.6173 4.9838 0.0840
-1.2323 0.7806 2.1373
1.3379 5.2099 1.7141
-2.4838 3.1695 2.2945
2.5895 2.8210 1.5570
0.4578 3.1335 3.0486
-0.3521 2.8570 0.8029
```

---

VASP calculation (PBE) on a geometry-optimized Li3Re structure.

Properties
- Theoretical density: 5.63 g/cm3
- V: 122.2 Å³ per cell
- ΔH_f (0 K): 0.93 eV per atom
- ΔE to the lowest computed polymorph: 765 meV per atom

```
Li3Re
1.0
-1.8172 4.6162 0.1092
-1.1617 -0.5706 4.7905
4.4690 1.7288 1.2896
Li Re
6 2
Cartesian
-1.9438 3.1769 2.4772
-1.0351 0.8687 2.4226
1.3633 0.4364 4.2377
1.9441 0.7217 1.8424
0.2086 2.7403 0.3770
2.4432 3.6047 1.0218
0.0000 0.0000 0.0000
0.7451 2.8872 3.0947
```

---

VASP calculation (PBE) on a geometry-optimized LiRe structure.

Properties
- Theoretical density: 10.36 g/cm3
- V: 247.6 Å³ per cell
- ΔH_f (0 K): 0.61 eV per atom
- ΔE to the lowest computed polymorph: 466 meV per atom

```
LiRe
1.0
-8.0282 3.8544 3.6404
-4.4920 -1.4360 -8.3858
-0.7832 -2.4187 0.8337
Li Re
8 8
Cartesian
-6.1343 0.6026 -4.0145
-6.3859 1.8158 -0.7309
-4.5869 0.7678 -2.0814
-7.9333 1.6506 -2.6640
-8.2941 2.0384 2.4155
-5.0093 -2.0387 -6.3272
-11.2386 0.7676 -4.0373
-2.0648 -0.7680 0.1256
-3.7407 1.3307 0.3465
-8.7795 1.0877 -5.0919
-8.7561 2.7902 -0.1308
-3.7641 -0.3718 -4.6146
-10.3924 1.3305 -1.6094
-2.9109 -1.3308 -2.3023
-7.3796 -1.0644 -5.7270
-5.9238 1.0640 1.8153
```

---

VASP calculation (PBE) on a geometry-optimized LiRe structure.

Properties
- Theoretical density: 11.86 g/cm3
- V: 54.1 Å³ per cell
- ΔH_f (0 K): 0.23 eV per atom
- ΔE to the lowest computed polymorph: 90 meV per atom

```
LiRe
1.0
-1.6324 -0.9135 3.8110
-0.7979 -4.0338 1.0559
2.3897 -1.9417 2.9227
Li Re
2 2
Cartesian
0.0000 0.0000 0.0000
-0.0102 -1.7222 1.9474
-0.0203 -3.4445 3.8948
-0.0305 -5.1667 5.8422
```

---

VASP calculation (PBE) on a geometry-optimized LiRe5 structure.

Properties
- Theoretical density: 17.66 g/cm3
- V: 88.2 Å³ per cell
- ΔH_f (0 K): 0.28 eV per atom
- ΔE to the lowest computed polymorph: 194 meV per atom

```
LiRe5
1.0
-1.9848 -1.1327 -1.9673
2.9716 -3.0588 -1.2369
-3.7567 -2.5541 5.2609
Re Li
5 1
Cartesian
0.7637 -2.8278 0.8577
-1.5489 -2.7851 3.1663
0.4934 -2.0958 -1.6021
-1.7725 -1.9691 0.6111
-0.9975 -4.7766 1.4457
0.0000 0.0000 0.0000
```

---

VASP calculation (PBE) on a geometry-optimized Li2ReRh structure.

Properties
- Theoretical density: 8.94 g/cm3
- V: 56.3 Å³ per cell
- ΔH_f (0 K): 0.11 eV per atom
- ΔE to the lowest computed polymorph: 51 meV per atom

```
Li2ReRh
1.0
2.7204 0.0000 0.0000
0.0000 4.4634 0.0000
0.0000 0.0000 4.6353
Li Re Rh
2 1 1
Cartesian
0.0000 0.0000 0.0000
1.3602 2.2317 0.0000
1.3602 0.0000 2.3176
0.0000 2.2317 2.3176
```

---

VASP calculation (PBE) on a geometry-optimized Li2ReRh structure.

Properties
- Theoretical density: 8.87 g/cm3
- V: 56.7 Å³ per cell
- ΔH_f (0 K): 0.31 eV per atom
- ΔE to the lowest computed polymorph: 256 meV per atom

```
Li2ReRh
1.0
4.4207 0.0000 0.0000
0.0000 3.5814 0.0000
0.0000 0.0000 3.5814
Li Re Rh
2 1 1
Cartesian
0.0000 0.0000 0.0000
0.0000 1.7907 1.7907
2.2103 1.7907 0.0000
2.2103 0.0000 1.7907
```

---

VASP calculation (PBE) on a geometry-optimized LiRe2Rh structure.

Properties
- Theoretical density: 14.33 g/cm3
- V: 55.9 Å³ per cell
- ΔH_f (0 K): 0.14 eV per atom
- ΔE to the lowest computed polymorph: 82 meV per atom

```
LiRe2Rh
1.0
-4.2069 0.3808 0.1455
-0.2438 -2.6300 -0.1674
-0.0012 -1.8804 4.8852
Li Re Rh
1 2 1
Cartesian
-2.2873 -3.1924 3.6111
-0.2406 -4.4421 4.6679
-0.1270 -2.3235 2.4088
-2.1647 -0.9372 1.2522
```

---

VASP calculation (PBE) on a geometry-optimized Li2ReRh structure.

Properties
- Theoretical density: 8.82 g/cm3
- V: 57.0 Å³ per cell
- ΔH_f (0 K): 0.32 eV per atom
- ΔE to the lowest computed polymorph: 264 meV per atom

```
Li2ReRh
1.0
5.1245 0.0031 0.0000
2.6255 4.4008 0.0000
-3.8750 -2.2020 2.5291
Li Re Rh
2 1 1
Cartesian
0.0000 0.0000 0.0000
3.8750 2.2020 0.0000
1.3127 2.2004 1.2645
2.5622 0.0015 1.2645
```

---

VASP calculation (PBE) on a geometry-optimized Li2ReRh structure.

Properties
- Theoretical density: 8.84 g/cm3
- V: 56.9 Å³ per cell
- ΔH_f (0 K): 0.06 eV per atom
- ΔE to the lowest computed polymorph: 0 meV per atom

```
Li2ReRh
1.0
4.2091 0.0000 0.0000
0.0000 2.6467 -0.1471
0.0000 0.9189 5.0590
Li Re Rh
2 1 1
Cartesian
0.0000 2.4026 0.0407
2.1046 0.9114 0.9981
0.0000 1.6833 2.7246
2.1046 2.9977 3.4573
```

---

VASP calculation (PBE) on a geometry-optimized LiRe2Rh structure.

Properties
- Theoretical density: 13.74 g/cm3
- V: 58.3 Å³ per cell
- ΔH_f (0 K): 0.30 eV per atom
- ΔE to the lowest computed polymorph: 240 meV per atom

```
LiRe2Rh
1.0
2.6292 0.0000 0.0000
0.0000 2.6292 0.0000
0.0000 0.0000 8.4342
Li Re Rh
1 2 1
Cartesian
1.3146 1.3146 6.3256
0.0000 0.0000 0.0724
0.0000 0.0000 4.1447
1.3146 1.3146 2.1085
```

---

VASP calculation (PBE) on a geometry-optimized Li2ReRh structure.

Properties
- Theoretical density: 8.35 g/cm3
- V: 60.3 Å³ per cell
- ΔH_f (0 K): 0.14 eV per atom
- ΔE to the lowest computed polymorph: 84 meV per atom

```
Li2ReRh
1.0
-1.7313 -1.4568 -1.4323
2.5947 -0.4245 -0.5086
0.1928 -6.6723 6.5531
Li Re Rh
2 1 1
Cartesian
0.1892 -6.5464 6.4295
0.4821 -2.6852 0.7430
0.0984 -3.4060 3.3451
0.5757 -5.9244 3.9243
```

---

VASP calculation (PBE) on a geometry-optimized LiRe2Rh structure.

Properties
- Theoretical density: 14.14 g/cm3
- V: 56.6 Å³ per cell
- ΔH_f (0 K): 0.12 eV per atom
- ΔE to the lowest computed polymorph: 65 meV per atom

```
LiRe2Rh
1.0
-3.9941 2.1377 0.3385
-4.4490 -0.1549 -0.9051
-1.2190 -2.0947 4.3071
Li Re Rh
1 2 1
Cartesian
-7.2609 -0.0531 2.7538
-9.6402 -0.1118 3.7325
-2.3386 -0.0248 0.9012
-4.9156 -0.0898 1.9637
```